[1]
DFT (SCAN) results for a PBEsol-optimized structure of TlSiMo.

Space group: No. 156
Density of states at the Fermi level, states/eV per cell: 3.49
Uncorrected formation energy, eV/f.u.: 1.64
M_tot, μB/cell: 0.0

abc: 3.0970 3.0970 6.5469
angles: 90.00 90.00 120.00
With the nearest neighbours (Å) after each atom.
Atoms (fractional coordinates):
Tl (0.0000, 0.0000, 0.0000)  3 Mo 2.97, 3 Si 3.05, 6 Tl 3.10
Si (0.6667, 0.3333, 0.3782)  3 Mo 2.47
Mo (0.3333, 0.6667, 0.6379)  3 Si 2.47

=====

[2]
DFT (SCAN) results for a PBEsol-optimized structure of TlSiMo2.

Space group: No. 166
Density of states at the Fermi level, states/eV per cell: 3.03
Uncorrected formation energy, eV/f.u.: 1.91
M_tot, μB/cell: 0.0

abc: 8.8177 8.8177 8.8177
angles: 19.34 19.34 19.34
With the nearest neighbours (Å) after each atom.
Atoms (fractional coordinates):
Tl (0.0000, 0.0000, 0.0000)  6 Mo 2.93, 6 Tl 2.96
Si (0.5000, 0.5000, 0.5000)  6 Mo 2.59
Mo (0.2415, 0.2415, 0.2415)  3 Si 2.59
Mo (0.7585, 0.7585, 0.7585)  3 Si 2.59

=====

[3]
DFT (SCAN) results for a PBEsol-optimized structure of TlSiMo.

Space group: No. 216
Density of states at the Fermi level, states/eV per cell: 2.65
Uncorrected formation energy, eV/f.u.: 2.44
M_tot, μB/cell: 0.0

abc: 4.2816 4.2816 4.2816
angles: 60.00 60.00 60.00
With the nearest neighbours (Å) after each atom.
Atoms (fractional coordinates):
Tl (0.0000, 0.0000, 0.0000)  4 Si 2.62
Si (0.2500, 0.2500, 0.2500)  4 Mo 2.62, 4 Tl 2.62
Mo (0.5000, 0.5000, 0.5000)  4 Si 2.62

=====

[4]
DFT (SCAN) results for a PBEsol-optimized structure of TlSiMo2.

Space group: No. 12
Density of states at the Fermi level, states/eV per cell: 2.23
Uncorrected formation energy, eV/f.u.: 1.83
M_tot, μB/cell: 0.0

abc: 4.6268 4.6268 5.1254
angles: 100.41 100.41 39.96
With the nearest neighbours (Å) after each atom.
Atoms (fractional coordinates):
Tl (0.0000, 0.0000, 0.0000)  6 Mo 2.87-2.96, 4 Si 3.01, 2 Tl 3.16
Si (0.5000, 0.5000, 0.5000)  6 Mo 2.61-2.65
Mo (0.2406, 0.2406, 0.6866)  2 Mo 2.51, 3 Si 2.61-2.65
Mo (0.7594, 0.7594, 0.3134)  2 Mo 2.51, 3 Si 2.61-2.65

=====

[5]
DFT (SCAN) results for a PBEsol-optimized structure of TlSiMo2.

Space group: No. 47
Density of states at the Fermi level, states/eV per cell: 2.60
Uncorrected formation energy, eV/f.u.: 2.62
M_tot, μB/cell: 0.0

abc: 3.2430 4.3328 4.6937
angles: 90.00 90.00 90.00
With the nearest neighbours (Å) after each atom.
Atoms (fractional coordinates):
Tl (0.0000, 0.0000, 0.0000)  4 Mo 2.71, 4 Si 2.85
Si (0.5000, 0.0000, 0.5000)  4 Mo 2.71, 4 Tl 2.85
Mo (0.0000, 0.5000, 0.5000)  4 Si 2.71, 4 Mo 2.85
Mo (0.5000, 0.5000, 0.0000)  4 Tl 2.71, 4 Mo 2.85

=====

[6]
DFT (SCAN) results for a PBEsol-optimized structure of VSi3Mo4.

Space group: No. 140
Density of states at the Fermi level, states/eV per cell: 9.11
Uncorrected formation energy, eV/f.u.: -3.61
M_tot, μB/cell: 0.0

abc: 7.1764 7.1764 7.1764
angles: 96.38 96.38 141.05
With the nearest neighbours (Å) after each atom.
Atoms (fractional coordinates):
V (0.2500, 0.7500, 0.5000)  2 V 2.39, 4 Si 2.51
V (0.7500, 0.2500, 0.5000)  2 V 2.39, 4 Si 2.51
Si (0.1630, 0.6630, 0.8259)  2 V 2.51, 8 Mo 2.54-2.74
Si (0.2500, 0.2500, 0.0000)  2 Si 2.39, 8 Mo 2.58
Si (0.3370, 0.1630, 0.5000)  2 V 2.51, 8 Mo 2.54-2.74
Si (0.6630, 0.8370, 0.5000)  2 V 2.51, 8 Mo 2.54-2.74
Si (0.7500, 0.7500, 0.0000)  2 Si 2.39, 8 Mo 2.58
Si (0.8370, 0.3370, 0.1741)  2 V 2.51, 8 Mo 2.54-2.74
Mo (0.0781, 0.2261, 0.3042)  6 Si 2.54-2.74, 3 Mo 2.65-2.82
Mo (0.2261, 0.9219, 0.1479)  6 Si 2.54-2.74, 3 Mo 2.65-2.82
Mo (0.2739, 0.4219, 0.6958)  6 Si 2.54-2.74, 3 Mo 2.65-2.82
Mo (0.4219, 0.7261, 0.1479)  6 Si 2.54-2.74, 3 Mo 2.65-2.82
Mo (0.5781, 0.2739, 0.8521)  6 Si 2.54-2.74, 3 Mo 2.65-2.82
Mo (0.7261, 0.5781, 0.3042)  6 Si 2.54-2.74, 3 Mo 2.65-2.82
Mo (0.7739, 0.0781, 0.8521)  6 Si 2.54-2.74, 3 Mo 2.65-2.82
Mo (0.9219, 0.7739, 0.6958)  6 Si 2.54-2.74, 3 Mo 2.65-2.82